# 1
{"formula": "KHg3B", "functional": "GGA-PBEsol", "state": "optimized geometry", "lattice_angstrom": [[6.2299, 0.0000, 0.0000], [0.0000, 6.2299, 0.0000], [0.0000, 0.0000, 6.2299]], "species": ["K", "B", "Hg", "Hg", "Hg"], "fractional_positions": [[0.0000, 0.0000, 0.0000], [0.5000, 0.5000, 0.5000], [0.0000, 0.5000, 0.0000], [0.0000, 0.0000, 0.5000], [0.5000, 0.0000, 0.0000]], "vol_a3_per_fu": 241.79, "space_group": "Pm-3m", "formation_energy_ev_per_atom": 1.470}

# 2
{"formula": "K2LiHgB", "functional": "GGA-PBEsol", "state": "optimized geometry", "lattice_angstrom": [[-0.4856, 3.5151, 2.7184], [-5.9238, -0.2866, -0.6876], [-0.3664, -3.6772, 4.6894]], "species": ["K", "K", "B", "Hg", "Li"], "fractional_positions": [[0.0000, 0.0000, 0.5000], [0.0000, 0.5000, 0.0000], [0.0000, 0.0000, 0.0000], [0.5000, 0.5000, 0.5000], [0.5000, 0.0000, 0.0000]], "vol_a3_per_fu": 159.34, "space_group": "P4/mmm", "formation_energy_ev_per_atom": 0.635}

# 3
{"formula": "LaHg3B", "functional": "GGA-PBEsol", "state": "optimized geometry", "lattice_angstrom": [[4.7407, 0.0000, 0.0000], [0.0000, 4.7407, 0.0000], [0.0000, 0.0000, 4.7407]], "species": ["B", "Hg", "Hg", "Hg", "La"], "fractional_positions": [[0.0000, 0.0000, 0.0000], [0.0000, 0.5000, 0.0000], [0.0000, 0.0000, 0.5000], [0.5000, 0.0000, 0.0000], [0.5000, 0.5000, 0.5000]], "vol_a3_per_fu": 106.54, "space_group": "Pm-3m", "formation_energy_ev_per_atom": 0.164}

# 4
{"formula": "LiRe2HgB", "functional": "GGA-PBEsol", "state": "optimized geometry", "lattice_angstrom": [[-3.7827, -1.4093, 0.7866], [1.5432, -3.8135, 0.5887], [0.5276, 0.8366, 4.0364]], "species": ["Re", "Re", "B", "Hg", "Li"], "fractional_positions": [[0.0000, 0.0000, 0.5000], [0.0000, 0.5000, 0.0000], [0.5000, 0.5000, 0.5000], [0.5000, 0.0000, 0.0000], [0.0000, 0.0000, 0.0000]], "vol_a3_per_fu": 71.03, "space_group": "P4/mmm", "formation_energy_ev_per_atom": 2.278}

# 5
{"formula": "MnHgBO2", "functional": "GGA-PBEsol", "state": "optimized geometry", "lattice_angstrom": [[-3.2708, -1.2386, -0.1866], [0.8472, -2.5719, 2.2215], [-1.2135, 2.6692, 3.5530]], "species": ["B", "Mn", "Hg", "O", "O"], "fractional_positions": [[0.0000, 0.0000, 0.0000], [0.0000, 0.0000, 0.5000], [0.5000, 0.5000, 0.5000], [0.0000, 0.5000, 0.0000], [0.5000, 0.0000, 0.0000]], "e_form_raw_ev_per_atom": 0.329, "vol_a3_per_fu": 56.51, "space_group": "P4/mmm"}

# 6
{"formula": "Hg3BN", "functional": "GGA-PBEsol", "state": "optimized geometry", "lattice_angstrom": [[-2.0775, -4.0638, 0.4033], [0.6567, -0.7790, -4.4671], [4.0306, -1.9677, 0.9356]], "species": ["B", "Hg", "Hg", "Hg", "N"], "fractional_positions": [[0.5000, 0.5000, 0.5000], [0.0000, 0.5000, 0.0000], [0.0000, 0.0000, 0.5000], [0.5000, 0.0000, 0.0000], [0.0000, 0.0000, 0.0000]], "e_form_raw_ev_per_atom": 1.583, "vol_a3_per_fu": 96.19, "space_group": "Pm-3m"}

Number 5 is which compound?
MnHgBO2